VASP calculation (PBE-GGA) on crystalline BiSb2F at its relaxed geometry.

Unit cell a=5.1752 b=5.1752 c=5.1752 alpha=60.00 beta=60.00 gamma=60.00
Closest atoms and distances in Å follow each position.
Fractional positions:
Bi (0.0000, 0.0000, 0.0000)  8 Sb 3.17
Sb (0.2500, 0.2500, 0.2500)  4 F 3.17, 4 Bi 3.17
Sb (0.7500, 0.7500, 0.7500)  4 F 3.17, 4 Bi 3.17
F (0.5000, 0.5000, 0.5000)  8 Sb 3.17

Properties
Uncorrected formation energy in eV/atom: -0.31
V in Å³/atom: 24.502
Final energy in eV/cell: -15.25
Space-group type: Fm-3m, No. 225
Mass density in g cm⁻³: 7.99
Magnetization in Bohr magnetons per cell: 0.00